DFT (GGA-PBE) results for a relaxed structure of HfTaGa3.

a b c (Å): 7.0685 7.0685 7.2761
angles (deg): 94.03 94.03 80.84
Closest atoms and distances in Å follow each position.
Fractional positions:
Hf: 0.1093 0.8907 0.7500  8 Ga 2.74-2.89
Hf: 0.2935 0.7065 0.2500  6 Ga 2.74-2.81
Hf: 0.7065 0.2935 0.7500  6 Ga 2.74-2.81
Hf: 0.8907 0.1093 0.2500  8 Ga 2.74-2.89
Ta: 0.1740 0.4085 0.9202  6 Ga 2.61-2.81, 1 Ta 2.87
Ta: 0.4085 0.1740 0.4202  6 Ga 2.61-2.81, 1 Ta 2.87
Ta: 0.5915 0.8260 0.5798  6 Ga 2.61-2.81, 1 Ta 2.87
Ta: 0.8260 0.5915 0.0798  6 Ga 2.61-2.81, 1 Ta 2.87
Ga: 0.0560 0.2359 0.5873  3 Ga 2.63-2.85, 3 Hf 2.75-2.79, 2 Ta 2.77-2.81
Ga: 0.1000 0.4062 0.2873  3 Ta 2.61-2.76, 4 Ga 2.63-2.85, 2 Hf 2.74
Ga: 0.2359 0.0560 0.0873  3 Ga 2.63-2.85, 3 Hf 2.75-2.79, 2 Ta 2.77-2.81
Ga: 0.3247 0.5422 0.5932  3 Ga 2.58-2.87, 1 Ta 2.80, 2 Hf 2.81-2.89
Ga: 0.4062 0.1000 0.7873  3 Ta 2.61-2.76, 4 Ga 2.63-2.85, 2 Hf 2.74
Ga: 0.4578 0.6753 0.9068  3 Ga 2.58-2.87, 1 Ta 2.80, 2 Hf 2.81-2.89
Ga: 0.5422 0.3247 0.0932  3 Ga 2.58-2.87, 1 Ta 2.80, 2 Hf 2.81-2.89
Ga: 0.5938 0.9000 0.2127  3 Ta 2.61-2.76, 4 Ga 2.63-2.85, 2 Hf 2.74
Ga: 0.6753 0.4578 0.4068  3 Ga 2.58-2.87, 1 Ta 2.80, 2 Hf 2.81-2.89
Ga: 0.7641 0.9440 0.9127  3 Ga 2.63-2.85, 3 Hf 2.75-2.79, 2 Ta 2.77-2.81
Ga: 0.9000 0.5938 0.7127  3 Ta 2.61-2.76, 4 Ga 2.63-2.85, 2 Hf 2.74
Ga: 0.9440 0.7641 0.4127  3 Ga 2.63-2.85, 3 Hf 2.75-2.79, 2 Ta 2.77-2.81

Values from the calculation:
The calculation puts the density of states at the Fermi level at 2.176 states/eV/f.u. The value obtained for the relative energy among the computed polymorphs is 0.0000 eV/atom.

DFT (GGA-PBE) results for a relaxed structure of Ni2BiMoP.

a b c (Å): 4.6736 4.6736 5.3199
angles (deg): 90.00 90.00 90.00
Closest atoms and distances in Å follow each position.
Fractional positions:
Ni: 0.0000 0.5000 0.0000  2 Bi 2.34
Ni: 0.5000 0.0000 0.0000  2 Bi 2.34
Bi: 0.0000 0.0000 0.0000  4 Ni 2.34
Mo: 0.5000 0.5000 0.5000  4 P 3.30, 8 Ni 3.54
P: 0.0000 0.0000 0.5000  2 Bi 2.66

Values from the calculation:
The calculation puts the density of states at the Fermi level at 3.486 states/eV/f.u. The total energy is -4.645 eV/atom.

DFT (GGA-PBE) results for a relaxed structure of TiHg2Sb2.

a b c (Å): 7.2809 7.2809 4.8148
angles (deg): 90.00 90.00 90.00
Closest atoms and distances in Å follow each position.
Fractional positions:
Ti: 0.0000 0.0000 0.0000  4 Sb 2.80
Ti: 0.5000 0.5000 0.0000  4 Sb 2.80
Hg: 0.1811 0.3189 0.5000  2 Sb 3.01
Hg: 0.3189 0.8189 0.5000  2 Sb 3.01
Hg: 0.6811 0.1811 0.5000  2 Sb 3.01
Hg: 0.8189 0.6811 0.5000  2 Sb 3.01
Sb: 0.1441 0.6441 0.0000  2 Ti 2.80, 1 Sb 2.97, 2 Hg 3.01
Sb: 0.3559 0.1441 0.0000  2 Ti 2.80, 1 Sb 2.97, 2 Hg 3.01
Sb: 0.6441 0.8559 0.0000  2 Ti 2.80, 1 Sb 2.97, 2 Hg 3.01
Sb: 0.8559 0.3559 0.0000  2 Ti 2.80, 1 Sb 2.97, 2 Hg 3.01

Values from the calculation:
The calculation puts the density of states at the Fermi level at 4.406 states/eV/f.u. The total energy is -3.176 eV/atom.

DFT (GGA-PBE) results for a relaxed structure of TlFe2CoTe.

a b c (Å): 4.7039 4.7039 4.6665
angles (deg): 90.00 90.00 90.00
Closest atoms and distances in Å follow each position.
Fractional positions:
Tl: 0.0000 0.0000 0.0000  8 Fe 3.31, 4 Te 3.33
Fe: 0.0000 0.5000 0.5000  2 Co 2.35
Fe: 0.5000 0.0000 0.5000  2 Co 2.35
Co: 0.5000 0.5000 0.5000  2 Te 2.33, 4 Fe 2.35
Te: 0.5000 0.5000 0.0000  2 Co 2.33

Values from the calculation:
The calculation puts the density of states at the Fermi level at 5.128 states/eV/f.u. The value obtained for the relative energy among the computed polymorphs is 0.0000 eV/atom.

DFT (GGA-PBE) results for a relaxed structure of Pm3Th4S8.

a b c (Å): 8.0403 8.0403 8.0345
angles (deg): 119.88 119.88 90.09
Closest atoms and distances in Å follow each position.
Fractional positions:
Pm: 0.0000 0.0000 0.0000  6 S 2.83-2.85
Pm: 0.0000 0.5000 0.0000  6 S 2.84-2.85
Pm: 0.5000 0.0000 0.0000  6 S 2.84-2.85
Th: 0.0000 0.5000 0.5000  6 S 2.84-2.85
Th: 0.5000 0.0000 0.5000  6 S 2.84-2.85
Th: 0.5000 0.5000 0.0000  6 S 2.83-2.86
Th: 0.5000 0.5000 0.5000  6 S 2.88-2.91
S: 0.2432 0.2432 0.4987  1 Pm 2.84, 4 Th 2.85-2.91
S: 0.2458 0.7542 0.5000  3 Th 2.84-2.89, 2 Pm 2.85
S: 0.2475 0.2475 0.9940  2 Th 2.83-2.88, 3 Pm 2.84-2.85
S: 0.2491 0.7509 0.0000  3 Pm 2.83-2.84, 3 Th 2.85
S: 0.7509 0.2491 0.0000  3 Pm 2.83-2.84, 3 Th 2.85
S: 0.7525 0.7525 0.0060  2 Th 2.83-2.88, 3 Pm 2.84-2.85
S: 0.7542 0.2458 0.5000  3 Th 2.84-2.89, 2 Pm 2.85
S: 0.7568 0.7568 0.5013  1 Pm 2.84, 4 Th 2.85-2.91

Values from the calculation:
The calculation puts the density of states at the Fermi level at 6.579 states/eV/f.u. The total energy is -7.064 eV/atom.

DFT (GGA-PBE) results for a relaxed structure of RbTlIn2Sn.

a b c (Å): 7.3065 7.3065 7.3065
angles (deg): 138.70 138.70 59.83
Closest atoms and distances in Å follow each position.
Fractional positions:
Rb: 0.0000 0.0000 0.0000  8 In 3.93, 4 Tl 4.08, 4 Sn 4.08
Tl: 0.7500 0.2500 0.5000  4 In 3.09
In: 0.3841 0.3841 0.0000  1 In 2.94, 2 Sn 3.09, 2 Tl 3.09
In: 0.6159 0.6159 0.0000  1 In 2.94, 2 Tl 3.09, 2 Sn 3.09
Sn: 0.2500 0.7500 0.5000  4 In 3.09

Values from the calculation:
The calculation puts the density of states at the Fermi level at 1.704 states/eV/f.u. The total energy is -2.686 eV/atom.